Density functional theory data (PBE with a Hubbard U) for an optimized crystal structure of TcMoHO2.

Lattice parameters (Å, degrees): 3.8191 3.3018 3.8191 90.00 90.00 90.00
Closest atoms and distances in Å follow each position.
Positions (direct):
H 0.0000 0.0000 0.0000  2 Mo 1.65
Mo 0.0000 0.5000 0.0000  2 H 1.65
Tc 0.5000 0.5000 0.5000  8 O 2.52, 4 Mo 2.70
O 0.0000 0.0000 0.5000  2 H 1.91
O 0.5000 0.0000 0.0000  2 H 1.91

Properties
calculated total energy: -27.0 eV/cell
energy above the lowest structure with this stoichiometry: 3.504 eV/f.u.
SG: P4/mmm (123)
volume: 48.2 Å³ per cell